Entry 1:
Compound: VCu3Se2S2
Source: Alexandria
Functional: GGA-PBEsol
Structure: relaxed

Output
- Magnetization: 0.00 μB per formula unit
- Formation energy without anion corrections: -0.54 eV/atom

Unit cell a=5.404 b=5.404 c=5.401 alpha=90.00 beta=90.00 gamma=92.19
Fractional positions:
V 0.000 0.000 0.000
Cu 0.000 0.000 0.507
Cu 0.000 0.500 0.990
Cu 0.500 0.000 0.990
Se 0.257 0.257 0.248
Se 0.743 0.743 0.248
S 0.230 0.770 0.762
S 0.770 0.230 0.762



Entry 2:
Compound: Ba4CeRu3O12
Source: Alexandria
Functional: GGA-PBEsol
Structure: relaxed

Output
- Magnetization: 3.49 μB per formula unit
- Formation energy without anion corrections: -2.19 eV/atom
- N(E_F): 8.74 states/eV/cell

Unit cell a=5.850 b=5.850 c=10.477 alpha=107.94 beta=107.94 gamma=59.99
Fractional positions:
Ba 0.130 0.130 0.391
Ba 0.278 0.278 0.850
Ba 0.722 0.722 0.150
Ba 0.870 0.870 0.609
Ce 0.000 0.000 0.000
Ru 0.424 0.424 0.243
Ru 0.500 0.500 0.500
Ru 0.576 0.576 0.757
O 0.150 0.613 0.367
O 0.230 0.230 0.113
O 0.236 0.713 0.140
O 0.287 0.764 0.860
O 0.380 0.380 0.615
O 0.387 0.850 0.633
O 0.613 0.150 0.367
O 0.620 0.620 0.385
O 0.713 0.236 0.140
O 0.764 0.287 0.860
O 0.770 0.770 0.887
O 0.850 0.387 0.633



Entry 3:
Compound: TiIr2OsN
Source: Alexandria
Functional: GGA-PBEsol
Structure: relaxed

Output
- Magnetization: 1.41 μB per formula unit
- Formation energy without anion corrections: 2.87 eV/atom
- N(E_F): 7.35 states/eV/cell

Unit cell a=4.497 b=4.497 c=4.567 alpha=90.00 beta=90.00 gamma=90.00
Fractional positions:
Ti 0.000 0.000 0.000
Ir 0.000 0.500 0.000
Ir 0.500 0.000 0.000
Os 0.000 0.000 0.500
N 0.500 0.500 0.500



Entry 4:
Compound: AlCdOs
Source: Alexandria
Functional: GGA-PBEsol
Structure: relaxed

Output
- Distance to the lowest polymorph of the same formula: 854 meV per atom
- Magnetization: 0.00 μB per formula unit
- N(E_F): 2.92 states/eV/cell
- Energy of formation: 99.6 kJ per mole of atoms

Unit cell a=4.289 b=4.289 c=4.289 alpha=60.00 beta=60.00 gamma=60.00
Fractional positions:
Al 0.000 0.000 0.000
Cd 0.750 0.750 0.750
Os 0.500 0.500 0.500